Density functional theory data (PBE) for a geometry-optimized MnGaBRuSe structure.

a b c (Å): 3.8619 3.9322 5.7310
angles (deg): 90.00 90.00 90.00
Space group Pmm2 (No. 25)
Symmetry-distinct sites (fractional):
Mn 0.0000 0.0000 0.0000 [1 per cell]
Ga 0.5000 0.0000 0.6999 [1 per cell]
B 0.0000 0.5000 0.8700 [1 per cell]
Ru 0.5000 0.5000 0.9841 [1 per cell]
Se 0.5000 0.0000 0.2616 [1 per cell]

* E: -0.2330 Ha/atom
* formation energy (no corrections): -0.07 eV per formula unit
* total magnetization: 1.839 Bohr magnetons per cell
* mass density: 6.020 g/cm3
* relative energy among the computed polymorphs: 204.6 meV per atom
* density of states at the Fermi level: 2.67 states/eV/f.u.